No. 1
# Pr2Dy8Er3 GGA-PBE optimized geometry
# Spin magnetization: 0.0000 μB per atom
# Space group: Cmmm
# Formation energy from the elements: 235 meV per atom
# N(E_F): 22.09 states/eV/f.u.
data_Pr2Dy8Er3
_chemical_formula_sum 'Pr2 Dy8 Er3'
_cell_length_a 5.520
_cell_length_b 7.611
_cell_length_c 11.084
_cell_angle_alpha 110.08
_cell_angle_beta 90.00
_cell_angle_gamma 90.00
_symmetry_space_group_name_H-M 'P 1'
_symmetry_Int_Tables_number 1
loop_
_symmetry_equiv_pos_as_xyz
'x,y,z'
loop_
_atom_site_label
_atom_site_type_symbol
_atom_site_fract_x
_atom_site_fract_y
_atom_site_fract_z
Pr1 Pr 0.500 0.240 0.481
Pr2 Pr 0.500 0.760 0.519
Er1 Er 0.000 0.286 0.000
Er2 Er 0.500 0.000 0.000
Er3 Er 0.000 0.714 0.000
Dy1 Dy 0.000 0.340 0.679
Dy2 Dy 0.500 0.818 0.211
Dy3 Dy 0.000 0.873 0.746
Dy4 Dy 0.500 0.607 0.789
Dy5 Dy 0.500 0.393 0.211
Dy6 Dy 0.500 0.182 0.789
Dy7 Dy 0.000 0.127 0.254
Dy8 Dy 0.000 0.660 0.321

=====

No. 2
# Pr2Dy4Er7 GGA-PBE optimized geometry
# Spin magnetization: 0.0000 μB per atom
# Space group: P-31m
# Formation energy from the elements: 188 meV per atom
# N(E_F): 17.61 states/eV/f.u.
data_Pr2Dy4Er7
_chemical_formula_sum 'Pr2 Dy4 Er7'
_cell_length_a 6.045
_cell_length_b 6.045
_cell_length_c 13.378
_cell_angle_alpha 90.00
_cell_angle_beta 90.00
_cell_angle_gamma 120.00
_symmetry_space_group_name_H-M 'P 1'
_symmetry_Int_Tables_number 1
loop_
_symmetry_equiv_pos_as_xyz
'x,y,z'
loop_
_atom_site_label
_atom_site_type_symbol
_atom_site_fract_x
_atom_site_fract_y
_atom_site_fract_z
Dy1 Dy 0.000 0.000 0.395
Dy2 Dy 0.667 0.333 0.500
Dy3 Dy 0.000 0.000 0.605
Dy4 Dy 0.333 0.667 0.500
Er1 Er 0.349 0.000 0.216
Er2 Er 0.651 0.000 0.784
Er3 Er 0.000 0.000 0.000
Er4 Er 0.651 0.651 0.216
Er5 Er 0.349 0.349 0.784
Er6 Er 0.000 0.349 0.216
Er7 Er 0.000 0.651 0.784
Pr1 Pr 0.667 0.333 0.000
Pr2 Pr 0.333 0.667 0.000

=====

- Which of these has the lowest N(E_F)?
  Pr2Dy4Er7

=====

Copy entry 1 word for word.
# Pr2Dy8Er3 GGA-PBE optimized geometry
# Spin magnetization: 0.0000 μB per atom
# Space group: Cmmm
# Formation energy from the elements: 235 meV per atom
# N(E_F): 22.09 states/eV/f.u.
data_Pr2Dy8Er3
_chemical_formula_sum 'Pr2 Dy8 Er3'
_cell_length_a 5.520
_cell_length_b 7.611
_cell_length_c 11.084
_cell_angle_alpha 110.08
_cell_angle_beta 90.00
_cell_angle_gamma 90.00
_symmetry_space_group_name_H-M 'P 1'
_symmetry_Int_Tables_number 1
loop_
_symmetry_equiv_pos_as_xyz
'x,y,z'
loop_
_atom_site_label
_atom_site_type_symbol
_atom_site_fract_x
_atom_site_fract_y
_atom_site_fract_z
Pr1 Pr 0.500 0.240 0.481
Pr2 Pr 0.500 0.760 0.519
Er1 Er 0.000 0.286 0.000
Er2 Er 0.500 0.000 0.000
Er3 Er 0.000 0.714 0.000
Dy1 Dy 0.000 0.340 0.679
Dy2 Dy 0.500 0.818 0.211
Dy3 Dy 0.000 0.873 0.746
Dy4 Dy 0.500 0.607 0.789
Dy5 Dy 0.500 0.393 0.211
Dy6 Dy 0.500 0.182 0.789
Dy7 Dy 0.000 0.127 0.254
Dy8 Dy 0.000 0.660 0.321